# 1
First-principles (meta-GGA SCAN) data for a PBEsol-optimized structure of CuSiH2, as listed in the Alexandria database.

Properties
* final energy: -7.377 eV/atom

Cell and atoms, written as CIF:
```
data_CuSiH2
_chemical_formula_sum 'Cu4 Si4 H8'
_symmetry_space_group_name_H-M 'I -4 2 d'
_symmetry_Int_Tables_number 122
_symmetry_space_group_name_Hall 'I -4 2bw'
_cell_length_a 4.3660
_cell_length_b 4.3660
_cell_length_c 7.6835
_cell_angle_alpha 90.00
_cell_angle_beta 90.00
_cell_angle_gamma 90.00
loop_
_atom_site_label
_atom_site_type_symbol
_atom_site_fract_x
_atom_site_fract_y
_atom_site_fract_z
Cu1 Cu 0.0000 0.0000 0.0000
Si1 Si 0.0000 0.0000 0.5000
H1 H 0.1819 0.2500 0.1250
```

=====

# 2
First-principles (meta-GGA SCAN) data for a PBEsol-optimized structure of SrCuH3, as listed in the Alexandria database.

Properties
* final energy: -9.990 eV/atom

Cell and atoms, written as CIF:
```
data_SrCuH3
_chemical_formula_sum 'Sr4 Cu4 H12'
_symmetry_space_group_name_H-M 'C m c 21'
_symmetry_Int_Tables_number 36
_symmetry_space_group_name_Hall 'C 2c -2'
_cell_length_a 4.8871
_cell_length_b 10.7929
_cell_length_c 4.4841
_cell_angle_alpha 90.00
_cell_angle_beta 90.00
_cell_angle_gamma 90.00
loop_
_atom_site_label
_atom_site_type_symbol
_atom_site_fract_x
_atom_site_fract_y
_atom_site_fract_z
Sr1 Sr 0.0000 0.1435 0.0000
Cu1 Cu 0.0000 0.4328 0.9596
H1 H 0.0000 0.4265 0.5876
H2 H 0.2369 0.1550 0.5107
```

=====

Please write out number 1 again, unchanged.
First-principles (meta-GGA SCAN) data for a PBEsol-optimized structure of CuSiH2, as listed in the Alexandria database.

Properties
* final energy: -7.377 eV/atom

Cell and atoms, written as CIF:
```
data_CuSiH2
_chemical_formula_sum 'Cu4 Si4 H8'
_symmetry_space_group_name_H-M 'I -4 2 d'
_symmetry_Int_Tables_number 122
_symmetry_space_group_name_Hall 'I -4 2bw'
_cell_length_a 4.3660
_cell_length_b 4.3660
_cell_length_c 7.6835
_cell_angle_alpha 90.00
_cell_angle_beta 90.00
_cell_angle_gamma 90.00
loop_
_atom_site_label
_atom_site_type_symbol
_atom_site_fract_x
_atom_site_fract_y
_atom_site_fract_z
Cu1 Cu 0.0000 0.0000 0.0000
Si1 Si 0.0000 0.0000 0.5000
H1 H 0.1819 0.2500 0.1250
```